No. 1
# PBE Mg2AsW, optimized geometry
# DOS at the Fermi energy = 2.1 states/eV/cell
# DFT formation energy = 177 meV/atom
# Mass density = 7.1 g/cm3
# Size of the total moment = 0.00 μB per formula unit
data_Mg2AsW
_space_group_name_H-M_alt 'P 1'
_space_group_IT_number 1
_space_group_name_Hall 'P 1'
_cell_length_a 2.8622
_cell_length_b 2.8622
_cell_length_c 8.8622
_cell_angle_alpha 90.00
_cell_angle_beta 90.00
_cell_angle_gamma 99.95
loop_
_atom_site_label
_atom_site_type_symbol
_atom_site_fract_x
_atom_site_fract_y
_atom_site_fract_z
_atom_site_occupancy
Mg1 Mg 0.0000 0.0000 0.2459 1
Mg2 Mg 0.0000 0.0000 0.7541 1
As1 As 0.5000 0.5000 0.5000 1
W1 W 0.5000 0.5000 0.0000 1


No. 2
# PBE MgAsW2, optimized geometry
# DOS at the Fermi energy = 4.0 states/eV/cell
# DFT formation energy = 798 meV/atom
# Mass density = 12.1 g/cm3
# Size of the total moment = 0.00 μB per formula unit
# Energy above the lowest structure with this stoichiometry = 0.612 eV/atom
data_MgAsW2
_space_group_name_H-M_alt 'P 1'
_space_group_IT_number 1
_space_group_name_Hall 'P 1'
_cell_length_a 4.4862
_cell_length_b 4.4862
_cell_length_c 4.4862
_cell_angle_alpha 60.00
_cell_angle_beta 60.00
_cell_angle_gamma 60.00
loop_
_atom_site_label
_atom_site_type_symbol
_atom_site_fract_x
_atom_site_fract_y
_atom_site_fract_z
_atom_site_occupancy
Mg1 Mg 0.0000 0.0000 0.0000 1
As1 As 0.5000 0.5000 0.5000 1
W1 W 0.2500 0.2500 0.2500 1
W2 W 0.7500 0.7500 0.7500 1


No. 3
# PBE MgAsW2, optimized geometry
# DOS at the Fermi energy = 3.3 states/eV/cell
# DFT formation energy = 469 meV/atom
# Mass density = 11.8 g/cm3
# Size of the total moment = 0.00 μB per formula unit
# Energy above the lowest structure with this stoichiometry = 0.283 eV/atom
data_MgAsW2
_space_group_name_H-M_alt 'P 1'
_space_group_IT_number 1
_space_group_name_Hall 'P 1'
_cell_length_a 3.2549
_cell_length_b 4.4611
_cell_length_c 4.5268
_cell_angle_alpha 90.00
_cell_angle_beta 90.00
_cell_angle_gamma 90.00
loop_
_atom_site_label
_atom_site_type_symbol
_atom_site_fract_x
_atom_site_fract_y
_atom_site_fract_z
_atom_site_occupancy
Mg1 Mg 0.0000 0.0000 0.0000 1
As1 As 0.5000 0.5000 0.0000 1
W1 W 0.0000 0.5000 0.5000 1
W2 W 0.5000 0.0000 0.5000 1